Record 1
Compound: Ac2Cd2GePt4
Source: the Alexandria database
Functional: GGA-PBE
Structure: optimized geometry

Cell lengths 6.4949, 6.4949, 6.4949 Å; angles 99.50, 114.68, 114.68 degrees
Fractional positions:
Ac (0.5000, 0.7500, 0.2500)
Ac (0.5000, 0.2500, 0.7500)
Cd (0.0000, 0.6710, 0.6710)
Cd (0.0000, 0.3290, 0.3290)
Ge (0.0000, 0.0000, 0.0000)
Pt (0.0000, 0.7495, 0.2505)
Pt (0.4989, 0.7495, 0.7495)
Pt (0.0000, 0.2505, 0.7495)
Pt (0.5011, 0.2505, 0.2505)

Properties
Size of the total moment ... 0.000 μB/atom
E ... -4.99 eV per atom
Formation energy from the elements ... -678 meV per atom


Record 2
Compound: AcCd2GePt2
Source: the Alexandria database
Functional: GGA-PBE
Structure: optimized geometry

Cell lengths 5.3255, 5.3255, 6.6380 Å; angles 113.65, 113.65, 90.00 degrees
Fractional positions:
Ac (0.5000, 0.5000, 0.0000)
Cd (0.2500, 0.7500, 0.5000)
Cd (0.7500, 0.2500, 0.5000)
Ge (0.0000, 0.0000, 0.0000)
Pt (0.7837, 0.7837, 0.5674)
Pt (0.2163, 0.2163, 0.4326)

Properties
Size of the total moment ... 0.000 μB/atom
E ... -4.14 eV per atom
Formation energy from the elements ... -366 meV per atom


Record 3
Compound: Ac2CdGe3Pt4
Source: the Alexandria database
Functional: GGA-PBE
Structure: optimized geometry

Cell lengths 4.4988, 4.4988, 10.5465 Å; angles 90.00, 90.00, 90.00 degrees
Fractional positions:
Ac (0.5000, 0.0000, 0.2457)
Ac (0.0000, 0.5000, 0.7543)
Cd (0.5000, 0.5000, 0.5000)
Ge (0.0000, 0.0000, 0.5000)
Ge (0.5000, 0.0000, 0.8800)
Ge (0.0000, 0.5000, 0.1200)
Pt (0.5000, 0.5000, 0.0000)
Pt (0.0000, 0.0000, 0.0000)
Pt (0.5000, 0.0000, 0.6441)
Pt (0.0000, 0.5000, 0.3559)

Properties
Size of the total moment ... 0.000 μB/atom
E ... -5.58 eV per atom
Formation energy from the elements ... -867 meV per atom


Record 4
Compound: AcPuCdGe
Source: the Alexandria database
Functional: GGA-PBE
Structure: optimized geometry

Cell lengths 5.4373, 5.4373, 5.4373 Å; angles 60.00, 60.00, 60.00 degrees
Fractional positions:
Ac (0.2500, 0.2500, 0.2500)
Cd (0.0000, 0.0000, 0.0000)
Ge (0.5000, 0.5000, 0.5000)
Pu (0.7500, 0.7500, 0.7500)

Properties
Size of the total moment ... 1.674 μB/atom
E ... -6.24 eV per atom
Formation energy from the elements ... -245 meV per atom


Record 5
Compound: Ac2CdGe3Rh4
Source: the Alexandria database
Functional: GGA-PBE
Structure: optimized geometry

Cell lengths 4.3195, 4.3195, 10.9111 Å; angles 90.00, 90.00, 90.00 degrees
Fractional positions:
Ac (0.5000, 0.0000, 0.2480)
Ac (0.0000, 0.5000, 0.7520)
Cd (0.5000, 0.5000, 0.5000)
Ge (0.0000, 0.0000, 0.5000)
Ge (0.5000, 0.0000, 0.8808)
Ge (0.0000, 0.5000, 0.1192)
Rh (0.5000, 0.5000, 0.0000)
Rh (0.0000, 0.0000, 0.0000)
Rh (0.5000, 0.0000, 0.6505)
Rh (0.0000, 0.5000, 0.3495)

Properties
Size of the total moment ... 0.000 μB/atom
E ... -5.98 eV per atom
Formation energy from the elements ... -740 meV per atom


Record 6
Compound: AcCdGe2Rh5
Source: the Alexandria database
Functional: GGA-PBE
Structure: optimized geometry

Cell lengths 4.6750, 4.6750, 7.6067 Å; angles 90.00, 90.00, 90.00 degrees
Fractional positions:
Ac (0.0000, 0.0000, 0.5000)
Cd (0.0000, 0.0000, 0.0000)
Ge (0.5000, 0.5000, 0.1740)
Ge (0.5000, 0.5000, 0.8260)
Rh (0.0000, 0.5000, 0.2232)
Rh (0.5000, 0.0000, 0.2232)
Rh (0.0000, 0.5000, 0.7768)
Rh (0.5000, 0.0000, 0.7768)
Rh (0.5000, 0.5000, 0.5000)

Properties
Size of the total moment ... 0.000 μB/atom
E ... -6.00 eV per atom
Formation energy from the elements ... -328 meV per atom


Record 7
Compound: Ac2CdSiGe
Source: the Alexandria database
Functional: GGA-PBE
Structure: optimized geometry

Cell lengths 4.6231, 6.3383, 9.5797 Å; angles 90.00, 90.00, 90.00 degrees
Fractional positions:
Ac (0.7500, 0.7478, 0.5398)
Ac (0.7500, 0.7477, 0.9604)
Ac (0.2500, 0.2522, 0.4602)
Ac (0.2500, 0.2523, 0.0396)
Cd (0.2500, 0.7406, 0.2504)
Cd (0.7500, 0.2594, 0.7496)
Si (0.2500, 0.5509, 0.7501)
Si (0.7500, 0.4491, 0.2499)
Ge (0.2500, 0.9499, 0.7501)
Ge (0.7500, 0.0501, 0.2499)

Properties
Size of the total moment ... 0.000 μB/atom
E ... -4.33 eV per atom


Record 8
Compound: AcSmCdGe
Source: the Alexandria database
Functional: GGA-PBE
Structure: optimized geometry

Cell lengths 5.4493, 5.4493, 5.4493 Å; angles 60.00, 60.00, 60.00 degrees
Fractional positions:
Ac (0.5000, 0.5000, 0.5000)
Ge (0.7500, 0.7500, 0.7500)
Sm (0.0000, 0.0000, 0.0000)
Cd (0.2500, 0.2500, 0.2500)

Properties
Size of the total moment ... 0.000 μB/atom
E ... -4.01 eV per atom
Formation energy from the elements ... -417 meV per atom


Record 9
Compound: Ac2CdSnGe
Source: the Alexandria database
Functional: GGA-PBE
Structure: optimized geometry

Cell lengths 4.8184, 8.3430, 8.1467 Å; angles 89.97, 90.00, 90.00 degrees
Fractional positions:
Ac (0.7500, 0.7843, 0.5005)
Ac (0.7500, 0.7848, 0.9992)
Ac (0.2500, 0.2157, 0.4995)
Ac (0.2500, 0.2152, 0.0008)
Cd (0.2500, 0.5859, 0.7507)
Cd (0.7500, 0.4141, 0.2493)
Sn (0.2500, 0.6003, 0.2497)
Sn (0.7500, 0.3997, 0.7503)
Ge (0.2500, 0.9108, 0.7498)
Ge (0.7500, 0.0892, 0.2502)

Properties
Size of the total moment ... 0.000 μB/atom
E ... -4.13 eV per atom
Formation energy from the elements ... -578 meV per atom


Record 10
Compound: SrAc2Cd2Ge2
Source: the Alexandria database
Functional: GGA-PBE
Structure: optimized geometry

Cell lengths 4.5632, 4.5632, 12.9264 Å; angles 79.83, 79.83, 60.00 degrees
Fractional positions:
Sr (0.0000, 0.0000, 0.0000)
Ac (0.1220, 0.1220, 0.6339)
Ac (0.8780, 0.8780, 0.3661)
Cd (0.6093, 0.6093, 0.1722)
Cd (0.3907, 0.3907, 0.8278)
Ge (0.7378, 0.7378, 0.7866)
Ge (0.2622, 0.2622, 0.2134)

Properties
Size of the total moment ... 0.061 μB/atom
E ... -3.33 eV per atom
Formation energy from the elements ... -334 meV per atom


Record 11
Compound: AcTbCdGe
Source: the Alexandria database
Functional: GGA-PBE
Structure: optimized geometry

Cell lengths 5.4114, 5.4114, 5.4114 Å; angles 60.00, 60.00, 60.00 degrees
Fractional positions:
Ac (0.5000, 0.5000, 0.5000)
Tb (0.0000, 0.0000, 0.0000)
Ge (0.2500, 0.2500, 0.2500)
Cd (0.7500, 0.7500, 0.7500)

Properties
Size of the total moment ... 0.000 μB/atom
E ... -3.97 eV per atom
Formation energy from the elements ... -403 meV per atom


Record 12
Compound: AcTlCdGe
Source: the Alexandria database
Functional: GGA-PBE
Structure: optimized geometry

Cell lengths 5.3965, 5.3965, 5.3965 Å; angles 60.00, 60.00, 60.00 degrees
Fractional positions:
Ac (0.0000, 0.0000, 0.0000)
Ge (0.2500, 0.2500, 0.2500)
Tl (0.7500, 0.7500, 0.7500)
Cd (0.5000, 0.5000, 0.5000)

Properties
Size of the total moment ... 0.000 μB/atom
E ... -3.23 eV per atom
Formation energy from the elements ... -223 meV per atom